Computed, not measured: crystalline SrLa4Cr5O15 at its relaxed geometry at the PBE+U level of DFT.

Properties
Final energy ... -7.9413 eV per atom
Symmetry ... Cm, No. 8

a = 8.7613 Å, b = 8.7613 Å, c = 6.8037 Å
α = 104.82°, β = 104.82°, γ = 36.95°
Atoms (fractional coordinates):
Sr 0.0000 0.0000 0.0000
La 0.2040 0.2040 0.7879
La 0.4028 0.4028 0.5822
La 0.5998 0.5998 0.4067
La 0.8021 0.8021 0.2042
Cr 0.0016 0.0016 0.5002
Cr 0.2017 0.2017 0.2950
Cr 0.4016 0.4016 0.0978
Cr 0.6006 0.6006 0.8985
Cr 0.7997 0.7997 0.6991
O 0.0926 0.5881 0.9070
O 0.1042 0.1042 0.4079
O 0.2108 0.6977 0.3048
O 0.3097 0.3097 0.2290
O 0.3098 0.7870 0.6967
O 0.4173 0.9014 0.0882
O 0.4988 0.9991 0.4982
O 0.5050 0.5050 0.0001
O 0.5881 0.0926 0.9070
O 0.6910 0.6910 0.7730
O 0.6977 0.2108 0.3048
O 0.7870 0.3098 0.6967
O 0.8972 0.8972 0.5884
O 0.9014 0.4173 0.0882
O 0.9991 0.4988 0.4982

Computed, not measured: crystalline LaTaCr2O8 at its relaxed geometry at the PBE+U level of DFT.

Properties
Final energy ... -8.1670 eV per atom
Symmetry ... P-1, No. 2

a = 4.7679 Å, b = 4.7776 Å, c = 6.5561 Å
α = 89.64°, β = 89.59°, γ = 87.65°
Atoms (fractional coordinates):
La 0.0000 0.0000 0.0000
Ta 0.0000 0.0000 0.5000
Cr 0.4963 0.4962 0.7422
Cr 0.5037 0.5038 0.2578
O 0.2094 0.7883 0.2879
O 0.2150 0.7943 0.7118
O 0.3044 0.3072 0.4948
O 0.3324 0.3392 0.9765
O 0.6676 0.6608 0.0235
O 0.6956 0.6928 0.5052
O 0.7850 0.2057 0.2882
O 0.7906 0.2117 0.7121

Computed, not measured: crystalline LaTaCrO6 at its relaxed geometry at the PBE+U level of DFT.

Properties
Final energy ... -8.5222 eV per atom
Symmetry ... P4_2nm, No. 102

a = 4.9173 Å, b = 4.9173 Å, c = 9.7752 Å
α = 90.00°, β = 90.00°, γ = 90.00°
Atoms (fractional coordinates):
La 0.0000 0.0000 0.0000
La 0.5000 0.5000 0.5000
Ta 0.0000 0.0000 0.3421
Ta 0.5000 0.5000 0.8421
Cr 0.0000 0.0000 0.6730
Cr 0.5000 0.5000 0.1730
O 0.1697 0.1697 0.5094
O 0.2195 0.2195 0.8122
O 0.2216 0.2216 0.2027
O 0.2784 0.7216 0.7027
O 0.2805 0.7195 0.3122
O 0.3303 0.6697 0.0094
O 0.6697 0.3303 0.0094
O 0.7195 0.2805 0.3122
O 0.7216 0.2784 0.7027
O 0.7784 0.7784 0.2027
O 0.7805 0.7805 0.8122
O 0.8303 0.8303 0.5094

Computed, not measured: crystalline LaTaCrO2 at its relaxed geometry at the PBE+U level of DFT.

Properties
Final energy ... -7.9613 eV per atom
Symmetry ... P4/mmm, No. 123

a = 4.0640 Å, b = 4.0640 Å, c = 5.4293 Å
α = 90.00°, β = 90.00°, γ = 90.00°
Atoms (fractional coordinates):
La 0.0000 0.0000 0.0000
Ta 0.5000 0.5000 0.5000
Cr 0.5000 0.5000 0.0000
O 0.0000 0.5000 0.5000
O 0.5000 0.0000 0.5000

Computed, not measured: crystalline La2TaCrO at its relaxed geometry at the PBE+U level of DFT.

Properties
Final energy ... -5.9990 eV per atom
Symmetry ... P4/mmm, No. 123

a = 5.9353 Å, b = 5.9353 Å, c = 3.8726 Å
α = 90.00°, β = 90.00°, γ = 90.00°
Atoms (fractional coordinates):
La 0.0000 0.5000 0.0000
La 0.5000 0.0000 0.0000
Ta 0.0000 0.0000 0.0000
Cr 0.5000 0.5000 0.5000
O 0.0000 0.0000 0.5000

Computed, not measured: crystalline LaTa2CrO8 at its relaxed geometry at the PBE+U level of DFT.

Properties
Final energy ... -9.0451 eV per atom
Symmetry ... C2/m, No. 12

a = 4.9164 Å, b = 4.9164 Å, c = 6.5681 Å
α = 91.72°, β = 91.72°, γ = 85.85°
Atoms (fractional coordinates):
La 0.0000 0.0000 0.0000
Ta 0.4706 0.4706 0.7369
Ta 0.5294 0.5294 0.2631
Cr 0.0000 0.0000 0.5000
O 0.1994 0.7743 0.2851
O 0.2257 0.8006 0.7149
O 0.3036 0.3036 0.5035
O 0.3299 0.3299 0.9795
O 0.6701 0.6701 0.0205
O 0.6964 0.6964 0.4965
O 0.7743 0.1994 0.2851
O 0.8006 0.2257 0.7149

Computed, not measured: crystalline LaTaCrO6 at its relaxed geometry at the PBE+U level of DFT.

Properties
Final energy ... -8.5736 eV per atom
Symmetry ... P1, No. 1

a = 5.4783 Å, b = 5.4922 Å, c = 5.4932 Å
α = 119.73°, β = 90.38°, γ = 119.63°
Atoms (fractional coordinates):
La 0.0000 0.0000 0.0000
Ta 0.2569 0.5030 0.7529
Cr 0.7544 0.5042 0.2575
O 0.0333 0.4805 0.4541
O 0.4715 0.4847 0.0418
O 0.5319 0.4722 0.5280
O 0.5369 0.0042 0.9920
O 0.9886 0.9893 0.5317
O 0.9948 0.5494 0.9938

Computed, not measured: crystalline LaTaZnCrO6 at its relaxed geometry at the PBE+U level of DFT.

Properties
Final energy ... -7.9992 eV per atom
Symmetry ... Pc, No. 7

a = 5.4165 Å, b = 5.7506 Å, c = 9.9884 Å
α = 90.00°, β = 121.91°, γ = 90.00°
Atoms (fractional coordinates):
La 0.0000 0.2012 0.0000
La 0.0000 0.7988 0.5000
Ta 0.2777 0.2755 0.7477
Ta 0.2777 0.7245 0.2477
Zn 0.5211 0.1319 0.5035
Zn 0.5211 0.8681 0.0035
Cr 0.7811 0.2600 0.2560
Cr 0.7811 0.7400 0.7560
O 0.0306 0.4610 0.1982
O 0.0306 0.5390 0.6982
O 0.2021 0.2090 0.5319
O 0.2021 0.7910 0.0319
O 0.3992 0.2402 0.9718
O 0.3992 0.7598 0.4718
O 0.5447 0.0448 0.3168
O 0.5447 0.9552 0.8168
O 0.6265 0.4476 0.8059
O 0.6265 0.5524 0.3059
O 0.9239 0.0479 0.6871
O 0.9239 0.9521 0.1871

Which formula does entry 5 have?
La2TaCrO